(a)
Computed, not measured: an optimized crystal structure of Na2TiF at the GGA-PBE level of DFT.

```
Na2TiF
1.0
-3.371 3.371 4.433
3.371 -3.371 4.433
3.371 3.371 -4.433
Na Ti F
4 2 2
direct
0.375 0.026 0.151
0.776 0.625 0.651
0.875 0.224 0.849
0.974 0.125 0.349
0.250 0.750 0.500
0.500 0.500 0.000
0.000 0.000 0.000
0.750 0.250 0.500
```

Summary:
Its space group is No. 122. The density of states at the Fermi level is 6.80 states/eV/cell.



(b)
Computed, not measured: an optimized crystal structure of Na2TiF at the GGA-PBE level of DFT.

```
Na2TiF
1.0
0.000 3.675 3.675
3.675 0.000 3.675
3.675 3.675 0.000
Na Ti F
2 1 1
direct
0.250 0.250 0.250
0.750 0.750 0.750
0.000 0.000 0.000
0.500 0.500 0.500
```

Summary:
Its space group is No. 225. The density of states at the Fermi level is 1.81 states/eV/cell.



(a) ends up most stable, edging out the next structure by 558 meV/atom.



(a)
Computed, not measured: an optimized crystal structure of NaTiF2 at the GGA-PBE level of DFT.

```
NaTiF2
1.0
1.453 0.839 7.744
-1.453 0.839 7.744
0.000 -1.678 7.744
Na Ti F
1 1 2
direct
0.000 0.000 0.000
0.500 0.500 0.500
0.105 0.105 0.105
0.895 0.895 0.895
```

Summary:
Its space group is No. 166. The density of states at the Fermi level is 2.63 states/eV/cell.



(b)
Computed, not measured: an optimized crystal structure of NaTiF2 at the GGA-PBE level of DFT.

```
NaTiF2
1.0
1.601 0.924 6.514
-1.601 0.924 6.514
0.000 -1.849 6.514
Na Ti F
1 1 2
direct
0.000 0.000 0.000
0.500 0.500 0.500
0.400 0.400 0.400
0.600 0.600 0.600
```

Summary:
Its space group is No. 166. The density of states at the Fermi level is 1.52 states/eV/cell.



(c)
Computed, not measured: an optimized crystal structure of NaTiF2 at the GGA-PBE level of DFT.

```
NaTiF2
1.0
-2.704 2.704 4.498
2.704 -2.704 4.498
2.704 2.704 -4.498
Na Ti F
2 2 4
direct
0.000 0.000 0.000
0.750 0.250 0.500
0.250 0.750 0.500
0.500 0.500 0.000
0.139 0.625 0.014
0.375 0.389 0.514
0.611 0.125 0.986
0.875 0.861 0.486
```

Summary:
Its space group is No. 122. The density of states at the Fermi level is 5.28 states/eV/cell.



(d)
Computed, not measured: an optimized crystal structure of NaTiF2 at the GGA-PBE level of DFT.

```
NaTiF2
1.0
0.000 2.983 2.983
2.983 0.000 2.983
2.983 2.983 0.000
Na Ti F
1 1 2
direct
0.000 0.000 0.000
0.500 0.500 0.500
0.250 0.250 0.250
0.750 0.750 0.750
```

Summary:
Its space group is No. 225. The density of states at the Fermi level is 1.85 states/eV/cell.



(b) ends up most stable, edging out the next structure by 336 meV/atom.



(a)
Computed, not measured: an optimized crystal structure of NaTl2F4 at the GGA-PBE level of DFT.

```
NaTl2F4
1.0
-2.191 2.191 6.382
2.191 -2.191 6.382
2.191 2.191 -6.382
Na Tl F
1 2 4
direct
0.000 0.000 0.000
0.367 0.367 0.000
0.633 0.633 0.000
0.000 0.500 0.500
0.183 0.183 0.000
0.500 0.000 0.500
0.817 0.817 0.000
```

Summary:
Its space group is No. 139. The density of states at the Fermi level is 5.83 states/eV/cell.



(b)
Computed, not measured: an optimized crystal structure of NaTl2F4 at the GGA-PBE level of DFT.

```
NaTl2F4
1.0
6.574 0.000 0.000
0.000 6.499 0.000
-3.260 0.000 6.535
Na Tl F
2 4 8
direct
0.069 0.250 0.163
0.931 0.750 0.837
0.175 0.750 0.477
0.457 0.250 0.905
0.543 0.750 0.095
0.825 0.250 0.523
0.103 0.519 0.708
0.103 0.981 0.708
0.196 0.750 0.164
0.443 0.250 0.277
0.557 0.750 0.723
0.804 0.250 0.836
0.897 0.019 0.292
0.897 0.481 0.292
```

Summary:
Its space group is No. 11. The density of states at the Fermi level is 3.59 states/eV/cell.



(b) ends up most stable, edging out the next structure by 42 meV/atom.



(a)
Computed, not measured: an optimized crystal structure of NaTl2F3 at the GGA-PBE level of DFT.

```
NaTl2F3
1.0
-1.802 2.594 6.205
1.802 -2.594 6.205
1.802 2.594 -6.205
Na Tl F
1 2 3
direct
0.000 0.000 0.000
0.338 0.338 0.000
0.662 0.662 0.000
0.122 0.622 0.500
0.500 0.000 0.500
0.878 0.378 0.500
```

Summary:
Its space group is No. 71. The density of states at the Fermi level is 0.00 states/eV/cell.



(b)
Computed, not measured: an optimized crystal structure of NaTl2F3 at the GGA-PBE level of DFT.

```
NaTl2F3
1.0
-1.887 1.887 8.605
1.887 -1.887 8.605
1.887 1.887 -8.605
Na Tl F
1 2 3
direct
0.000 0.000 0.000
0.345 0.345 0.000
0.655 0.655 0.000
0.127 0.127 0.000
0.500 0.500 0.000
0.873 0.873 0.000
```

Summary:
Its space group is No. 139. The density of states at the Fermi level is 0.00 states/eV/cell.



(b) ends up most stable, edging out the next structure by 8 meV/atom.



(a)
Computed, not measured: an optimized crystal structure of Na2TlF3 at the GGA-PBE level of DFT.

```
Na2TlF3
1.0
1.817 -6.926 0.000
1.817 6.926 0.000
0.000 0.000 9.068
Na Tl F
4 2 6
direct
0.000 0.000 0.000
0.000 0.000 0.500
0.418 0.582 0.750
0.582 0.418 0.250
0.329 0.671 0.250
0.671 0.329 0.750
0.020 0.980 0.750
0.392 0.608 0.514
0.392 0.608 0.986
0.608 0.392 0.014
0.608 0.392 0.486
0.980 0.020 0.250
```

Summary:
Its space group is No. 63. The density of states at the Fermi level is 0.00 states/eV/cell.



(b)
Computed, not measured: an optimized crystal structure of Na2TlF3 at the GGA-PBE level of DFT.

```
Na2TlF3
1.0
3.333 0.000 0.000
0.000 9.691 0.000
0.000 0.000 6.060
Na Tl F
4 2 6
direct
0.000 0.020 0.000
0.000 0.980 0.500
0.500 0.260 0.493
0.500 0.740 0.993
0.500 0.366 0.991
0.500 0.634 0.491
0.000 0.188 0.265
0.000 0.405 0.641
0.000 0.595 0.141
0.000 0.812 0.765
0.500 0.094 0.748
0.500 0.906 0.248
```

Summary:
Its space group is No. 26. The density of states at the Fermi level is 0.00 states/eV/cell.



(b) ends up most stable, edging out the next structure by 22 meV/atom.



(a)
Computed, not measured: an optimized crystal structure of NaTl2F2 at the GGA-PBE level of DFT.

```
NaTl2F2
1.0
-2.143 2.143 6.848
2.143 -2.143 6.848
2.143 2.143 -6.848
Na Tl F
1 2 2
direct
0.000 0.000 0.000
0.250 0.750 0.500
0.750 0.250 0.500
0.390 0.390 0.000
0.610 0.610 0.000
```

Summary:
Its space group is No. 139. The density of states at the Fermi level is 1.62 states/eV/cell.



(b)
Computed, not measured: an optimized crystal structure of NaTl2F2 at the GGA-PBE level of DFT.

```
NaTl2F2
1.0
6.531 0.000 0.000
0.000 6.531 0.000
0.000 0.000 5.091
Na Tl F
2 4 4
direct
0.000 0.000 0.000
0.500 0.500 0.000
0.187 0.313 0.500
0.313 0.813 0.500
0.687 0.187 0.500
0.813 0.687 0.500
0.249 0.749 0.000
0.251 0.249 0.000
0.749 0.751 0.000
0.751 0.251 0.000
```

Summary:
Its space group is No. 127. The density of states at the Fermi level is 3.00 states/eV/cell.



(b) ends up most stable, edging out the next structure by 334 meV/atom.



(a)
Computed, not measured: an optimized crystal structure of NaTl3F at the GGA-PBE level of DFT.

```
NaTl3F
1.0
5.327 0.000 0.000
0.000 5.327 0.000
0.000 0.000 5.327
Na Tl F
1 3 1
direct
0.000 0.000 0.000
0.000 0.500 0.500
0.500 0.000 0.500
0.500 0.500 0.000
0.500 0.500 0.500
```

Summary:
Its space group is No. 221. The density of states at the Fermi level is 1.74 states/eV/cell.



(b)
Computed, not measured: an optimized crystal structure of NaTl3F at the GGA-PBE level of DFT.

```
NaTl3F
1.0
5.760 0.000 0.000
0.000 5.760 0.000
0.000 0.000 5.760
Na Tl F
1 3 1
direct
0.000 0.000 0.000
0.000 0.000 0.500
0.000 0.500 0.000
0.500 0.000 0.000
0.500 0.500 0.500
```

Summary:
Its space group is No. 221. The density of states at the Fermi level is 4.62 states/eV/cell.



(a) ends up most stable, edging out the next structure by 595 meV/atom.



(a)
Computed, not measured: an optimized crystal structure of NaTlF at the GGA-PBE level of DFT.

```
NaTlF
1.0
3.315 -1.808 0.000
3.315 1.808 0.000
-2.445 0.000 11.702
Na Tl F
2 2 2
direct
0.125 0.125 0.399
0.875 0.875 0.601
0.303 0.303 0.880
0.697 0.697 0.120
0.200 0.200 0.603
0.800 0.800 0.397
```

Summary:
Its space group is No. 12. The density of states at the Fermi level is 1.94 states/eV/cell.



(b)
Computed, not measured: an optimized crystal structure of NaTlF at the GGA-PBE level of DFT.

```
NaTlF
1.0
3.657 0.000 0.000
-1.829 3.167 0.000
0.000 0.000 6.714
Na Tl F
1 1 1
direct
0.000 0.000 0.000
0.333 0.667 0.495
0.667 0.333 0.016
```

Summary:
Its space group is No. 156. The density of states at the Fermi level is 1.44 states/eV/cell.



(a) ends up most stable, edging out the next structure by 134 meV/atom.



(a)
Computed, not measured: an optimized crystal structure of Na2UF8 at the GGA-PBE level of DFT.

```
Na2UF8
1.0
-2.807 2.807 5.306
2.807 -2.807 5.306
2.807 2.807 -5.306
Na U F
2 1 8
direct
0.250 0.750 0.500
0.750 0.250 0.500
0.000 0.000 0.000
0.101 0.101 0.438
0.101 0.664 0.000
0.336 0.336 0.438
0.336 0.899 0.000
0.664 0.101 0.000
0.664 0.664 0.562
0.899 0.336 0.000
0.899 0.899 0.562
```

Summary:
Its space group is No. 139. The density of states at the Fermi level is 0.00 states/eV/cell.



(b)
Computed, not measured: an optimized crystal structure of Na2UF8 at the GGA-PBE level of DFT.

```
Na2UF8
1.0
7.150 -2.001 0.000
7.150 2.001 0.000
-1.449 0.000 5.100
Na U F
2 1 8
direct
0.213 0.213 0.203
0.787 0.787 0.797
0.500 0.500 0.500
0.022 0.022 0.302
0.206 0.206 0.765
0.369 0.369 0.584
0.416 0.416 0.127
0.584 0.584 0.873
0.631 0.631 0.416
0.794 0.794 0.235
0.978 0.978 0.698
```

Summary:
Its space group is No. 12. The density of states at the Fermi level is 4.77 states/eV/cell.



(a) ends up most stable, edging out the next structure by 181 meV/atom.